Entry 1:
# Pt2PbO6, optimized geometry, DFT PBE
# Symmetry = No. 162
# Uncorrected formation energy = -0.613 eV per atom
data_Pt2PbO6
_chemical_formula_sum 'Pt2 Pb1 O6'
_space_group_name_H-M_alt 'P 1'
_space_group_IT_number 1
_cell_length_a 5.3499
_cell_length_b 5.3499
_cell_length_c 4.8352
_cell_angle_alpha 90.00
_cell_angle_beta 90.00
_cell_angle_gamma 120.00
loop_
_space_group_symop_operation_xyz
'x,y,z'
loop_
_atom_site_label
_atom_site_type_symbol
_atom_site_fract_x
_atom_site_fract_y
_atom_site_fract_z
Pt1 Pt 0.3333 0.6667 0.0000
Pt2 Pt 0.6667 0.3333 0.0000
Pb1 Pb 0.0000 0.0000 0.5000
O1 O 0.0000 0.3696 0.2255
O2 O 0.0000 0.6304 0.7745
O3 O 0.3696 0.0000 0.2255
O4 O 0.3696 0.3696 0.7745
O5 O 0.6304 0.0000 0.7745
O6 O 0.6304 0.6304 0.2255

Entry 2:
# Co3P, optimized geometry, DFT PBE
# Energy of formation = -0.06 eV/atom
# Symmetry = No. 223
data_Co3P
_chemical_formula_sum 'Co6 P2'
_space_group_name_H-M_alt 'P 1'
_space_group_IT_number 1
_cell_length_a 4.4318
_cell_length_b 4.4318
_cell_length_c 4.4318
_cell_angle_alpha 90.00
_cell_angle_beta 90.00
_cell_angle_gamma 90.00
loop_
_space_group_symop_operation_xyz
'x,y,z'
loop_
_atom_site_label
_atom_site_type_symbol
_atom_site_fract_x
_atom_site_fract_y
_atom_site_fract_z
Co1 Co 0.0000 0.2500 0.5000
Co2 Co 0.0000 0.7500 0.5000
Co3 Co 0.2500 0.5000 0.0000
Co4 Co 0.5000 0.0000 0.2500
Co5 Co 0.5000 0.0000 0.7500
Co6 Co 0.7500 0.5000 0.0000
P1 P 0.0000 0.0000 0.0000
P2 P 0.5000 0.5000 0.5000

Entry 3:
# LaZnPt2, optimized geometry, DFT PBE
# Energy of formation = -0.63 eV/atom
# Symmetry = No. 99
data_LaZnPt2
_chemical_formula_sum 'La1 Zn1 Pt2'
_space_group_name_H-M_alt 'P 1'
_space_group_IT_number 1
_cell_length_a 3.7885
_cell_length_b 3.7885
_cell_length_c 5.8245
_cell_angle_alpha 90.00
_cell_angle_beta 90.00
_cell_angle_gamma 90.00
loop_
_space_group_symop_operation_xyz
'x,y,z'
loop_
_atom_site_label
_atom_site_type_symbol
_atom_site_fract_x
_atom_site_fract_y
_atom_site_fract_z
La1 La 0.0000 0.0000 0.0000
Zn1 Zn 0.5000 0.5000 0.6399
Pt1 Pt 0.0000 0.0000 0.5199
Pt2 Pt 0.5000 0.5000 0.2034

These records have uncorrected energy values of -5.673, -6.743, -5.199 eV per atom, in the order they appear.